Version w
Here is crystalline K2PtRh at its relaxed geometry from Alexandria via LeMat-Bulk. Energies are from PBE.

Cell and atoms, written as POSCAR:
```
K2PtRh
1.0
0.0000 3.6794 3.6794
3.6794 0.0000 3.6794
3.6794 3.6794 0.0000
K Rh Pt
2 1 1
Cartesian
5.5191 5.5191 5.5191
1.8397 1.8397 1.8397
0.0000 0.0000 0.0000
3.6794 3.6794 3.6794
```

Calculated values
Its density is 6.3 Mg/m³. The value obtained for the total moment is 0.694 μB/cell.

Version x
Here is crystalline K2PtRh at its relaxed geometry from Alexandria via LeMat-Bulk. Energies are from PBE.

Cell and atoms, written as POSCAR:
```
K2PtRh
1.0
5.9312 -0.0030 0.0034
3.1133 5.0484 -0.0034
-4.5259 -2.5161 2.8921
Rh K Pt
1 2 1
Cartesian
1.5548 2.5275 1.4444
9.0388 5.0422 0.0000
4.5279 2.5259 0.0000
2.9638 0.0018 1.4478
```

Calculated values
Its density is 7.2 Mg/m³. The value obtained for the total moment is 0.263 μB/cell.

Version y
Here is crystalline K2PtRh at its relaxed geometry from Alexandria via LeMat-Bulk. Energies are from PBE.

Cell and atoms, written as POSCAR:
```
K2PtRh
1.0
-2.9638 -0.7618 4.7570
-4.1151 -2.6427 2.8419
2.8434 -3.8004 2.0231
Pt Rh K
1 1 2
Cartesian
-3.1766 -5.4037 7.2165
-1.0589 -1.8012 2.4055
-2.1187 -3.6037 4.8128
-4.2345 -7.2036 9.6202
```

Calculated values
Its density is 7.7 Mg/m³. The value obtained for the total moment is 0.004 μB/cell.

The structure shown above that is most stable: version y.